Here is crystalline CoCuAg2 at its relaxed geometry from the Alexandria database. Energies are from PBE-GGA.

## Properties
Total energy (eV per atom): -3.8893
Space group: No. 65
Formation enthalpy at 0 K (meV/atom): 337
N(E_F) (states/eV/f.u.): 4.60
Distance to the lowest polymorph of the same formula (meV/atom): 96

a = 6.2653 Å, b = 4.7799 Å, c = 2.7267 Å
α = 90.03°, β = 64.14°, γ = 122.07°
Closest atoms and distances in Å follow each position.
Fractional positions:
Co1 0.0000 0.5000 0.5000  2 Co 2.73, 8 Ag 2.75, 2 Cu 2.82
Cu1 0.5000 0.5000 0.0000  2 Cu 2.73, 8 Ag 2.75, 2 Co 2.82
Ag1 0.0000 0.0000 0.0000  4 Ag 2.73-2.82, 4 Co 2.75, 4 Cu 2.75
Ag2 0.5000 0.0000 0.5000  4 Ag 2.73-2.82, 4 Cu 2.75, 4 Co 2.75

---

Here is crystalline Co2CuAg at its relaxed geometry from the Alexandria database. Energies are from PBE-GGA.

## Properties
Total energy (eV per atom): -5.0061
Space group: No. 35
Formation enthalpy at 0 K (meV/atom): 284
N(E_F) (states/eV/f.u.): 4.10
Distance to the lowest polymorph of the same formula (meV/atom): 86

a = 2.5807 Å, b = 2.5807 Å, c = 8.4351 Å
α = 90.00°, β = 90.00°, γ = 109.70°
Closest atoms and distances in Å follow each position.
Fractional positions:
Co1 0.5000 0.5000 0.2425  6 Co 2.35-2.58, 2 Cu 2.49
Co2 0.0000 0.0000 0.0259  6 Co 2.35-2.58
Ag1 0.5000 0.5000 0.7518  4 Ag 2.58, 2 Cu 2.73, 2 Co 2.75
Cu1 0.0000 0.0000 0.4798  2 Co 2.49, 4 Cu 2.58, 2 Ag 2.73